No. 1
This record from Alexandria via LeMat-Bulk describes an optimized crystal structure of MgZn2Pd4. The functional is PBE.

Properties
- Total moment: 0.00 μB/f.u.
- SG: I4/mmm, No. 139
- Volume: 111.7 Å³/f.u.
- Energy of formation: -0.459 eV/atom

Structure (extended XYZ):
```
7
Lattice="-2.4815 -4.0701 2.2120 5.1121 -1.1395 -0.4300 -0.6796 4.2580 3.0039" Properties=species:S:1:pos:R:3 pbc="T T T"
Zn -1.5806 0.0940 2.6080
Pd -1.2408 -2.0350 1.1060
Pd -0.3398 2.1290 1.5020
Zn 1.3153 -2.6048 0.8910
Pd 2.5560 -0.5697 -0.2150
Mg 0.0000 0.0000 0.0000
Pd 0.9754 -0.4757 2.3930
```

---

No. 2
This record from Alexandria via LeMat-Bulk describes an optimized crystal structure of MgZn6Pd12. The functional is PBE.

Properties
- Total moment: 0.00 μB/f.u.
- SG: R-3m, No. 166
- Volume: 303.8 Å³/f.u.
- Energy of formation: -0.245 eV/atom

Structure (extended XYZ):
```
19
Lattice="7.0091 -0.4190 -0.5020 -1.4768 6.8645 -0.5020 -1.4768 -1.7206 6.6643" Properties=species:S:1:pos:R:3 pbc="T T T"
Pd -1.4752 4.6460 1.3510
Pd 4.8160 1.4640 -0.5002
Pd 5.5307 0.0789 4.3093
Pd 1.2563 1.4688 4.9193
Zn 0.2321 0.2743 2.7868
Pd -0.7605 3.2609 6.1606
Mg 0.0000 0.0000 0.0000
Pd 4.3343 1.9358 2.3242
Zn 0.2360 2.6935 0.7647
Pd 0.7169 -1.3825 4.8127
Zn 3.8195 2.0314 4.8957
Pd 3.3385 6.1074 0.8476
Zn 3.8233 4.4506 2.8735
Zn 2.6266 0.6377 0.7679
Pd 2.7991 3.2561 0.7410
Pd -0.2789 2.7891 3.3361
Pd 1.2613 4.5785 2.3200
Zn 1.4289 4.0872 4.8924
Pd 2.7941 0.1464 3.3404
```

---

No. 3
This record from Alexandria via LeMat-Bulk describes an optimized crystal structure of MgZnPd5. The functional is PBE.

Properties
- Total moment: 0.00 μB/f.u.
- SG: C2/c, No. 15
- Volume: 114.7 Å³/f.u.
- Energy of formation: -0.240 eV/atom
- Excess energy over the best structure of this formula in the dataset: 64 kJ/mol of formula units

Structure (extended XYZ):
```
14
Lattice="7.4217 -0.3583 1.3979 2.0148 7.1519 1.3979 4.4167 3.1798 5.5715" Properties=species:S:1:pos:R:3 pbc="T T T"
Zn 0.0000 0.0000 0.0000
Pd 7.6128 1.7049 2.7908
Pd 10.2825 6.1954 5.1202
Pd 8.9308 8.3743 6.7339
Mg 7.7062 6.2324 5.5766
Zn 2.2084 1.5899 2.7858
Mg 6.1470 3.7410 2.7908
Pd 3.5707 3.7780 3.2472
Pd 6.2404 8.2685 5.5766
Pd 6.9240 3.7775 6.0330
Pd 5.2865 5.7506 4.4193
Pd 4.9224 1.5991 1.6335
Pd 6.9292 6.1959 2.3344
Pd 8.5667 4.2228 3.9481
```

---

No. 4
This record from Alexandria via LeMat-Bulk describes an optimized crystal structure of Mg3Zn7Pd2. The functional is PBE.

Properties
- Total moment: 0.00 μB/f.u.
- SG: R-3m, No. 166
- Volume: 199.9 Å³/f.u.
- Energy of formation: -0.276 eV/atom

Structure (extended XYZ):
```
12
Lattice="5.1451 0.0000 0.0000 2.5726 4.4558 0.0000 2.5726 1.4853 8.7205" Properties=species:S:1:pos:R:3 pbc="T T T"
Zn 5.1451 2.9705 4.3602
Zn 3.8467 3.7202 6.5499
Pd 5.1451 2.9705 0.0094
Mg 0.0000 0.0000 0.0000
Mg 7.7177 4.4558 3.8137
Zn 6.4435 2.2209 2.1705
Pd 5.1451 2.9705 8.7111
Zn 3.8467 2.2209 2.1705
Zn 5.1451 4.4698 2.1705
Zn 6.4435 3.7202 6.5499
Zn 5.1451 1.4712 6.5499
Mg 2.5726 1.4853 4.9068
```

---

No. 5
This record from Alexandria via LeMat-Bulk describes an optimized crystal structure of MgZn2Pd5. The functional is PBE.

Properties
- Total moment: 0.00 μB/f.u.
- SG: I4/mmm, No. 139
- Volume: 120.5 Å³/f.u.
- Energy of formation: -0.559 eV/atom

Structure (extended XYZ):
```
8
Lattice="3.9856 0.0000 -1.0956 -0.3012 3.9742 -1.0956 -0.0456 -0.0492 7.6315" Properties=species:S:1:pos:R:3 pbc="T T T"
Pd 1.1611 3.4019 4.2240
Zn 2.7401 2.9556 2.1709
Pd 2.4778 0.5231 1.2164
Pd 0.3344 2.5102 1.2164
Zn 0.8987 0.9694 3.2695
Pd 1.8422 1.9871 -1.0956
Mg 0.0000 0.0000 0.0000
Pd 3.3045 1.4148 4.2240
```

---

No. 6
This record from Alexandria via LeMat-Bulk describes an optimized crystal structure of MgZn12Pd6. The functional is PBE.

Properties
- Total moment: 0.00 μB/f.u.
- SG: R-3m, No. 166
- Volume: 315.9 Å³/f.u.
- Energy of formation: -0.238 eV/atom
- Excess energy over the best structure of this formula in the dataset: 210 kJ/mol of formula units

Structure (extended XYZ):
```
19
Lattice="7.2541 -0.1965 -0.2767 -1.9885 6.9790 -0.2767 -1.9885 -2.5614 6.4978" Properties=species:S:1:pos:R:3 pbc="T T T"
Zn -1.9506 4.8970 2.9722
Pd -0.7326 3.0441 4.2869
Zn 1.6385 -1.5942 5.6030
Zn 1.6546 2.1313 0.6477
Zn 1.6546 -0.0909 2.2257
Mg 0.0000 0.0000 0.0000
Zn -1.9506 1.1922 5.6030
Pd 0.1464 4.1763 1.6576
Pd 4.0096 1.1771 1.6576
Pd 0.1464 0.1886 4.4892
Zn 1.6224 4.3121 3.7188
Zn 1.6224 2.0898 5.2968
Zn 5.2277 3.0289 0.3415
Zn -0.4983 1.5804 2.2257
Zn 1.6385 5.8153 0.3415
Zn 5.2277 -0.6759 2.9722
Pd 3.1307 4.0326 1.4552
Zn 3.7753 2.6407 3.7188
Pd 3.1307 0.0449 4.2869
```

---

No. 7
This record from Alexandria via LeMat-Bulk describes an optimized crystal structure of MgZn6Pd. The functional is PBE.

Properties
- Total moment: 0.00 μB/f.u.
- SG: C2/m, No. 12
- Volume: 127.1 Å³/f.u.
- Energy of formation: -0.151 eV/atom
- Excess energy over the best structure of this formula in the dataset: 0 kJ/mol of formula units

Structure (extended XYZ):
```
8
Lattice="5.0923 0.0000 0.6087 2.5462 4.3872 0.3043 -0.0709 0.0000 5.6816" Properties=species:S:1:pos:R:3 pbc="T T T"
Zn 1.2777 2.1974 1.5116
Zn 3.8238 2.1898 1.8160
Zn 2.4724 0.0000 4.6287
Zn 2.5490 0.0000 1.6616
Pd 0.0000 0.0000 0.0000
Zn 6.2899 2.1898 5.0830
Mg -0.0355 0.0000 2.8408
Zn 3.7438 2.1974 4.7786
```

---

No. 8
This record from Alexandria via LeMat-Bulk describes an optimized crystal structure of MgZnPd. The functional is PBE.

Properties
- Total moment: 0.00 μB/f.u.
- SG: Cmcm, No. 63
- Volume: 47.1 Å³/f.u.
- Energy of formation: -0.532 eV/atom

Structure (extended XYZ):
```
6
Lattice="-2.8026 -2.0296 1.1950 -1.1977 -0.6134 -3.8509 5.0109 -4.1522 -0.8972" Properties=species:S:1:pos:R:3 pbc="T T T"
Mg 1.3241 -5.5002 -0.6161
Zn 1.5043 -2.7361 -1.1124
Pd -1.0253 -2.1333 -0.4216
Zn -0.4937 -4.0590 -2.4408
Mg -0.3135 -1.2950 -2.9371
Pd 2.0359 -4.6618 -3.1316
```

---

No. 9
This record from Alexandria via LeMat-Bulk describes an optimized crystal structure of Mg6ZnPd2. The functional is PBE.

Properties
- Total moment: 0.00 μB/f.u.
- SG: P-3m1, No. 164
- Volume: 163.6 Å³/f.u.
- Energy of formation: -0.360 eV/atom
- Excess energy over the best structure of this formula in the dataset: 0 kJ/mol of formula units

Structure (extended XYZ):
```
9
Lattice="4.6545 -0.0004 0.0002 -2.3275 4.0307 0.0052 0.0004 -0.0119 8.7186" Properties=species:S:1:pos:R:3 pbc="T T T"
Mg 2.3275 1.3322 8.1741
Mg -0.0002 2.6862 0.5499
Zn 0.0002 -0.0060 4.3593
Mg 0.0000 2.6821 3.5329
Mg 2.3270 4.0278 1.6976
Mg 0.0003 -0.0094 7.0265
Pd 2.3273 1.3400 2.2221
Pd 0.0000 2.6784 6.5019
Mg 2.3274 1.3363 5.1911
```

---

No. 10
This record from Alexandria via LeMat-Bulk describes an optimized crystal structure of MgZnPd4. The functional is PBE.

Properties
- Total moment: 0.00 μB/f.u.
- SG: C2/m, No. 12
- Volume: 104.3 Å³/f.u.
- Energy of formation: -0.212 eV/atom
- Excess energy over the best structure of this formula in the dataset: 163 kJ/mol of formula units

Structure (extended XYZ):
```
6
Lattice="4.2182 0.0000 0.0000 2.1091 3.6496 0.2150 2.1091 0.8285 6.8225" Properties=species:S:1:pos:R:3 pbc="T T T"
Pd 6.3273 3.5073 2.7210
Zn 0.0000 0.0000 0.0000
Pd 2.1091 0.9708 4.3166
Pd 4.2182 2.0910 6.1176
Mg 4.2182 2.2391 3.5188
Pd 4.2182 2.3871 0.9199
```

---

No. 11
This record from Alexandria via LeMat-Bulk describes an optimized crystal structure of Mg2ZnPd5. The functional is PBE.

Properties
- Total moment: 0.00 μB/f.u.
- SG: Pbam, No. 55
- Volume: 123.0 Å³/f.u.
- Energy of formation: -0.617 eV/atom

Structure (extended XYZ):
```
16
Lattice="4.2115 0.0000 0.0000 0.0000 5.4804 0.0000 0.0000 0.0000 10.6571" Properties=species:S:1:pos:R:3 pbc="T T T"
Pd 2.1058 4.5013 4.1707
Pd 0.0000 3.2685 2.5680
Pd 0.0000 4.9521 7.8965
Pd 2.1058 0.9790 6.4864
Mg 2.1058 1.8189 3.8575
Mg 2.1058 3.6615 6.7996
Zn 0.0000 2.7402 0.0000
Pd 2.1058 1.7612 1.1579
Pd 0.0000 2.7402 5.3286
Pd 0.0000 0.0000 0.0000
Pd 0.0000 0.5283 2.7606
Mg 2.1058 4.5590 1.4710
Zn 0.0000 0.0000 5.3286
Pd 0.0000 2.2119 8.0891
Pd 2.1058 3.7192 9.4992
Mg 2.1058 0.9213 9.1861
```

---

No. 12
This record from Alexandria via LeMat-Bulk describes an optimized crystal structure of Mg11Zn9Pd4. The functional is PBE.

Properties
- Total moment: 0.00 μB/f.u.
- SG: Cmmm, No. 65
- Volume: 422.9 Å³/f.u.
- Energy of formation: -0.304 eV/atom

Structure (extended XYZ):
```
24
Lattice="-1.7027 2.1538 -1.6874 3.5339 -5.1922 -10.1933 -10.1473 -4.5324 4.4542" Properties=species:S:1:pos:R:3 pbc="T T T"
Zn -4.1580 -3.7854 -3.7132
Mg -7.9487 -4.6385 2.1004
Mg -1.4416 -4.9522 -4.8663
Mg 1.3354 -5.0861 -7.8395
Mg -3.9453 -2.1863 1.1905
Mg -7.4288 -7.3087 -1.8325
Pd -3.8099 -5.3011 -5.9993
Mg -4.6957 -6.9048 -4.0749
Zn -0.7879 -0.3486 -2.7273
Zn -6.7041 -2.6028 0.3654
Mg -2.6681 -7.5383 -6.9295
Zn -7.5282 -7.2222 -4.6991
Pd -6.4802 -5.1724 -3.1402
Zn -5.5279 -7.3186 -6.8407
Mg -1.9176 -2.8198 -1.6641
Pd -4.5062 -2.2697 -1.4272
Zn -1.6120 -4.9680 -7.7919
Mg 0.0000 0.0000 0.0000
Pd -1.8358 -2.3984 -4.2862
Zn -2.7882 -0.2522 -0.5857
Mg 0.8155 -2.4159 -3.9065
Zn -8.0998 -4.6551 -0.8458
Zn -0.2163 -2.9157 -6.5807
Mg -5.1717 -4.7724 -0.8727
```

---

No. 13
This record from Alexandria via LeMat-Bulk describes an optimized crystal structure of Mg3Zn8Pd. The functional is PBE.

Properties
- Total moment: 0.00 μB/f.u.
- SG: R3m, No. 160
- Volume: 191.1 Å³/f.u.
- Energy of formation: -0.185 eV/atom

Structure (extended XYZ):
```
12
Lattice="5.1443 0.0000 0.0000 2.5722 4.4551 0.0000 2.5722 1.4850 8.3372" Properties=species:S:1:pos:R:3 pbc="T T T"
Mg 5.1443 2.9701 4.0818
Pd 7.7165 4.4551 3.1451
Zn 7.7164 2.9780 5.6980
Zn 8.9957 5.1937 5.6980
Zn 2.5722 1.4850 3.6342
Zn 3.8577 2.2272 1.5839
Zn 6.4372 5.1937 5.6980
Zn 6.4309 2.2272 1.5839
Mg 7.7165 4.4551 0.1361
Mg 5.1443 2.9701 7.2859
Zn 5.1443 4.4557 1.5839
Zn 7.7164 4.4551 7.8103
```

---

No. 14
This record from Alexandria via LeMat-Bulk describes an optimized crystal structure of Mg2Zn3Pd3. The functional is PBE.

Properties
- Total moment: 0.00 μB/f.u.
- SG: Pmmm, No. 47
- Volume: 123.1 Å³/f.u.
- Energy of formation: -0.510 eV/atom

Structure (extended XYZ):
```
8
Lattice="-0.8752 -3.6160 -2.0491 3.1050 -1.9297 2.0792 -4.4261 -1.7526 4.9832" Properties=species:S:1:pos:R:3 pbc="T T T"
Mg -3.2897 -1.3026 3.7038
Pd -0.6606 -1.8411 3.5312
Pd 1.5525 -0.9648 1.0396
Pd -2.6507 -2.6843 1.4670
Mg -1.1364 -0.4500 1.2794
Zn -2.1800 -4.0775 3.7247
Zn -0.4376 -1.8080 -1.0246
Zn -0.0163 -3.2208 1.2886
```

---

No. 15
This record from Alexandria via LeMat-Bulk describes an optimized crystal structure of MgZn2Pd8. The functional is PBE.

Properties
- Total moment: 0.00 μB/f.u.
- SG: C2/m, No. 12
- Volume: 167.1 Å³/f.u.
- Energy of formation: -0.409 eV/atom
- Excess energy over the best structure of this formula in the dataset: 0 kJ/mol of formula units

Structure (extended XYZ):
```
11
Lattice="-0.1151 -1.9529 3.5258 0.8766 -5.4291 -2.9785 6.3275 3.4828 -0.1700" Properties=species:S:1:pos:R:3 pbc="T T T"
Mg -0.0576 -0.9765 1.7629
Pd 5.4975 -0.8981 -0.3179
Pd 4.0821 1.1680 0.7802
Pd 1.5915 -3.0011 0.6953
Zn 3.7076 -1.5022 1.5947
Pd 1.1933 -3.7331 -2.0287
Pd 5.1003 -3.5330 0.5153
Pd 5.8957 -0.1661 2.4062
Zn 3.3813 -2.3971 -1.2173
Pd 3.0068 -5.0672 -0.4028
Pd 1.9887 -0.3662 -0.1379
```

---

No. 16
This record from Alexandria via LeMat-Bulk describes an optimized crystal structure of Mg3ZnPd3. The functional is PBE.

Properties
- Total moment: 0.00 μB/f.u.
- SG: Cmmm, No. 65
- Volume: 120.8 Å³/f.u.
- Energy of formation: -0.581 eV/atom

Structure (extended XYZ):
```
14
Lattice="-0.2484 -4.7721 4.1574 -3.9038 -3.3303 -3.7132 4.7442 -2.5781 -2.6757" Properties=species:S:1:pos:R:3 pbc="T T T"
Pd -0.5458 -10.0622 -1.5897
Pd 1.6312 -3.6123 -3.8774
Mg 1.2006 -5.6971 0.8320
Zn -3.1269 -6.1019 0.3345
Zn 3.7189 -4.5786 -2.5660
Pd 1.0369 -3.0170 1.4238
Pd 1.1379 -0.6184 -0.6417
Pd 3.4589 -4.3331 0.0579
Mg -0.7294 -7.3414 -1.0061
Mg 1.3214 -3.3391 -1.2254
Mg -0.6086 -4.9835 -3.0635
Mg -2.8696 -3.7382 -1.4865
Mg -1.2825 -4.3642 1.9307
Pd -0.7908 -2.2962 -2.5115
```

---

No. 17
This record from Alexandria via LeMat-Bulk describes an optimized crystal structure of MgZn2Pd. The functional is PBE.

Properties
- Total moment: 0.00 μB/f.u.
- SG: I-42d, No. 122
- Volume: 69.4 Å³/f.u.
- Energy of formation: -0.163 eV/atom

Structure (extended XYZ):
```
8
Lattice="-0.7888 -0.5763 -3.6984 3.4990 -1.4561 -0.5194 -1.9427 -9.6724 -0.0568" Properties=species:S:1:pos:R:3 pbc="T T T"
Zn -0.5594 -2.9736 -2.4757
Pd -0.6882 -5.6325 -2.9321
Zn 1.6207 -3.3870 -0.7160
Zn 0.9949 -9.0662 -3.7451
Mg 1.3551 -1.0162 -2.1089
Pd 0.0000 0.0000 0.0000
Zn -0.5212 -7.9830 -1.6123
Mg 1.4557 -6.0724 -1.3425
```

---

No. 18
This record from Alexandria via LeMat-Bulk describes an optimized crystal structure of Mg5Zn5Pd2. The functional is PBE.

Properties
- Total moment: 0.00 μB/f.u.
- SG: C2/m, No. 12
- Volume: 213.8 Å³/f.u.
- Energy of formation: -0.307 eV/atom

Structure (extended XYZ):
```
12
Lattice="4.1882 0.0000 1.3519 1.4963 6.8413 2.5279 -0.0422 -0.5113 7.2940" Properties=species:S:1:pos:R:3 pbc="T T T"
Zn 0.5064 1.2856 5.5946
Mg 2.8211 3.1650 5.5869
Zn 5.1359 5.0444 5.5792
Zn 3.5661 1.5939 3.2791
Mg 1.9921 1.8752 8.1551
Pd 1.1997 2.5959 3.4469
Mg 1.3995 -0.1174 2.8279
Zn 0.0000 0.0000 0.0000
Zn 2.0762 4.7361 7.8947
Mg 3.6502 4.4548 3.0187
Mg 4.2428 6.4474 8.3459
Pd 4.4426 3.7341 7.7270
```

---

No. 19
This record from Alexandria via LeMat-Bulk describes an optimized crystal structure of Mg2Zn2Pd3. The functional is PBE.

Properties
- Total moment: 0.00 μB/f.u.
- SG: Cmmm, No. 65
- Volume: 111.8 Å³/f.u.
- Energy of formation: -0.539 eV/atom

Structure (extended XYZ):
```
7
Lattice="-2.8162 0.2694 0.8629 -0.7358 -2.3503 -1.6676 0.8733 -7.5691 10.2826" Properties=species:S:1:pos:R:3 pbc="T T T"
Zn -1.8446 -5.4291 5.8132
Pd 0.2259 -5.3831 7.4872
Mg -1.2241 -7.5242 8.4923
Pd 0.0000 0.0000 0.0000
Pd -2.1688 -1.9166 3.6582
Mg -1.4546 -2.1258 0.9855
Zn -0.8342 -4.2209 3.6646
```

---

No. 20
This record from Alexandria via LeMat-Bulk describes an optimized crystal structure of Mg4ZnPd7. The functional is PBE.

Properties
- Total moment: 0.00 μB/f.u.
- SG: C2/m, No. 12
- Volume: 209.0 Å³/f.u.
- Energy of formation: -0.401 eV/atom

Structure (extended XYZ):
```
12
Lattice="4.7653 0.0000 0.0000 2.3827 8.3629 0.1118 2.3827 0.4860 5.2515" Properties=species:S:1:pos:R:3 pbc="T T T"
Zn 0.0000 0.0000 0.0000
Pd 4.7653 4.1747 1.3445
Pd 4.7653 4.6742 4.0188
Pd 7.1480 7.9625 2.6380
Pd 2.3827 0.0000 0.0000
Mg 4.7653 2.1899 3.1502
Pd 2.3827 5.8184 0.9508
Pd 7.1480 3.0305 4.4126
Mg 2.3827 2.8587 1.0359
Mg 4.7653 6.6591 2.2132
Mg 7.1480 5.9902 4.3275
Pd 2.3827 0.8864 2.7253
```